# 1
A plane-wave DFT calculation with PBE was carried out for crystalline AgHg2IrO6 at its relaxed geometry.

Geometry as CIF:
```
data_AgHg2IrO6
_chemical_formula_sum 'Ag3 Hg6 Ir3 O18'
_space_group_name_H-M_alt 'R 3'
_space_group_IT_number 146
_space_group_name_Hall 'R 3'
_cell_length_a 5.8199
_cell_length_b 5.8199
_cell_length_c 13.9281
_cell_angle_alpha 90.00
_cell_angle_beta 90.00
_cell_angle_gamma 120.00
loop_
_atom_site_label
_atom_site_type_symbol
_atom_site_fract_x
_atom_site_fract_y
_atom_site_fract_z
Ag1 Ag 0.0000 0.0000 0.0000
Hg1 Hg 0.0000 0.0000 0.2523
Hg2 Hg 0.0000 0.0000 0.7657
Ir1 Ir 0.0000 0.0000 0.5242
O1 O 0.0123 0.7436 0.6120
O2 O 0.0766 0.3694 0.1192
```

Summary:
As for the energy relative to the elements, uncorrected: -0.294 eV/atom. Its density of states at the Fermi level is 11.77 states/eV/cell.

# 2
A plane-wave DFT calculation with PBE was carried out for crystalline PmAgHgIr at its relaxed geometry.

Geometry as CIF:
```
data_PmAgHgIr
_chemical_formula_sum 'Pm4 Ag4 Hg4 Ir4'
_space_group_name_H-M_alt 'F -4 3 m'
_space_group_IT_number 216
_space_group_name_Hall 'F -4 2 3'
_cell_length_a 6.944
_cell_length_b 6.944
_cell_length_c 6.944
_cell_angle_alpha 90.00
_cell_angle_beta 90.00
_cell_angle_gamma 90.00
loop_
_atom_site_label
_atom_site_type_symbol
_atom_site_fract_x
_atom_site_fract_y
_atom_site_fract_z
Pm1 Pm 0.000 0.000 0.000
Ag1 Ag 0.250 0.250 0.250
Hg1 Hg 0.000 0.000 0.500
Ir1 Ir 0.250 0.250 0.750
```

Summary:
Its formation energy from the elements is -0.1658 eV/atom. Its density of states at the Fermi level is 6.00 states/eV/cell.

# 3
A plane-wave DFT calculation with PBE was carried out for crystalline Pr5AgHg2Ir2 at its relaxed geometry.

Geometry as CIF:
```
data_Pr5AgHg2Ir2
_chemical_formula_sum 'Pr10 Ag2 Hg4 Ir4'
_space_group_name_H-M_alt 'P 4/m b m'
_space_group_IT_number 127
_space_group_name_Hall '-P 4 2ab'
_cell_length_a 12.095
_cell_length_b 12.095
_cell_length_c 3.857
_cell_angle_alpha 90.00
_cell_angle_beta 90.00
_cell_angle_gamma 90.00
loop_
_atom_site_label
_atom_site_type_symbol
_atom_site_fract_x
_atom_site_fract_y
_atom_site_fract_z
Pr1 Pr 0.000 0.500 0.000
Pr2 Pr 0.087 0.200 0.000
Ag1 Ag 0.000 0.000 0.500
Hg1 Hg 0.172 0.672 0.500
Ir1 Ir 0.132 0.368 0.500
```

Summary:
Its formation energy from the elements is -0.4085 eV/atom. Its density of states at the Fermi level is 17.60 states/eV/cell.

# 4
A plane-wave DFT calculation with PBE was carried out for crystalline Tb4Ag2HgIr at its relaxed geometry.

Geometry as CIF:
```
data_Tb4Ag2HgIr
_chemical_formula_sum 'Tb12 Ag6 Hg3 Ir3'
_space_group_name_H-M_alt 'R -3 m'
_space_group_IT_number 166
_space_group_name_Hall '-R 3 2"'
_cell_length_a 5.1209
_cell_length_b 5.1209
_cell_length_c 24.9166
_cell_angle_alpha 90.00
_cell_angle_beta 90.00
_cell_angle_gamma 120.00
loop_
_atom_site_label
_atom_site_type_symbol
_atom_site_fract_x
_atom_site_fract_y
_atom_site_fract_z
Tb1 Tb 0.0000 0.0000 0.1161
Tb2 Tb 0.0000 0.0000 0.3684
Ag1 Ag 0.0000 0.0000 0.2428
Hg1 Hg 0.0000 0.0000 0.5000
Ir1 Ir 0.0000 0.0000 0.0000
```

Summary:
Its formation energy from the elements is -0.5220 eV/atom. Its density of states at the Fermi level is 14.27 states/eV/cell.

What did the second record say?
A plane-wave DFT calculation with PBE was carried out for crystalline PmAgHgIr at its relaxed geometry.

Geometry as CIF:
```
data_PmAgHgIr
_chemical_formula_sum 'Pm4 Ag4 Hg4 Ir4'
_space_group_name_H-M_alt 'F -4 3 m'
_space_group_IT_number 216
_space_group_name_Hall 'F -4 2 3'
_cell_length_a 6.944
_cell_length_b 6.944
_cell_length_c 6.944
_cell_angle_alpha 90.00
_cell_angle_beta 90.00
_cell_angle_gamma 90.00
loop_
_atom_site_label
_atom_site_type_symbol
_atom_site_fract_x
_atom_site_fract_y
_atom_site_fract_z
Pm1 Pm 0.000 0.000 0.000
Ag1 Ag 0.250 0.250 0.250
Hg1 Hg 0.000 0.000 0.500
Ir1 Ir 0.250 0.250 0.750
```

Summary:
Its formation energy from the elements is -0.1658 eV/atom. Its density of states at the Fermi level is 6.00 states/eV/cell.